# PBE TmCo2, relaxed
data_TmCo2
_chemical_formula_sum 'Tm2 Co4'
_symmetry_space_group_name_H-M 'P 1'
_symmetry_Int_Tables_number 1
_symmetry_space_group_name_Hall 'P 1'
_cell_length_a 5.022
_cell_length_b 5.022
_cell_length_c 5.022
_cell_angle_alpha 60.00
_cell_angle_beta 60.00
_cell_angle_gamma 60.00
loop_
_atom_site_label
_atom_site_type_symbol
_atom_site_fract_x
_atom_site_fract_y
_atom_site_fract_z
Co1 Co 0.125 0.125 0.125
Co2 Co 0.625 0.125 0.125
Co3 Co 0.125 0.625 0.125
Co4 Co 0.125 0.125 0.625
Tm1 Tm 0.750 0.750 0.750
Tm2 Tm 0.500 0.500 0.500
# calculated volume = 14.92 Å³ per atom
# energy of formation from the pure elements = -0.266 eV per atom
# space group = No. 227
# DFT total energy = -6.494 eV per atom

# PBE MgNi, relaxed
data_MgNi
_chemical_formula_sum 'Mg3 Ni3'
_symmetry_space_group_name_H-M 'P 1'
_symmetry_Int_Tables_number 1
_symmetry_space_group_name_Hall 'P 1'
_cell_length_a 5.021
_cell_length_b 5.021
_cell_length_c 6.725
_cell_angle_alpha 71.33
_cell_angle_beta 71.33
_cell_angle_gamma 32.99
loop_
_atom_site_label
_atom_site_type_symbol
_atom_site_fract_x
_atom_site_fract_y
_atom_site_fract_z
Mg1 Mg 0.042 0.042 0.970
Mg2 Mg 0.358 0.358 0.744
Mg3 Mg 0.340 0.340 0.332
Ni1 Ni 0.053 0.053 0.393
Ni2 Ni 0.724 0.724 0.104
Ni3 Ni 0.649 0.649 0.624
# calculated volume = 14.51 Å³ per atom
# energy of formation from the pure elements = -0.081 eV per atom
# space group = No. 8
# DFT total energy = -3.769 eV per atom